Entry P
! K2BeCl (GGA-PBEsol, optimized geometry); values from VASP
! M_tot (μB/cell): 0.000
&SYSTEM
  ibrav = 0, nat = 4, ntyp = 3
/
ATOMIC_SPECIES
Be 9.01 Be.upf
K 39.10 K.upf
Cl 35.45 Cl.upf
CELL_PARAMETERS angstrom
3.722 0.000 0.000
0.000 3.995 0.000
-1.861 -1.997 8.864
ATOMIC_POSITIONS crystal
Be 0.553 0.553 0.106
K 0.935 0.935 0.870
K 0.716 0.216 0.431
Cl 0.297 0.797 0.593

Entry Q
! K2BeCl (GGA-PBEsol, optimized geometry); values from VASP
! M_tot (μB/cell): 0.264
&SYSTEM
  ibrav = 0, nat = 4, ntyp = 3
/
ATOMIC_SPECIES
Be 9.01 Be.upf
K 39.10 K.upf
Cl 35.45 Cl.upf
CELL_PARAMETERS angstrom
-2.504 3.842 -3.205
-5.337 -0.683 -1.532
-3.974 3.290 2.164
ATOMIC_POSITIONS crystal
Be 0.000 0.000 0.000
K 0.250 0.250 0.250
K 0.750 0.750 0.750
Cl 0.500 0.500 0.500

Tell me which of them is the least stable. Sure, it is entry Q.

Entry P
! LiBe2Cl (GGA-PBEsol, optimized geometry); values from VASP
! M_tot (μB/cell): 0.000
&SYSTEM
  ibrav = 0, nat = 4, ntyp = 3
/
ATOMIC_SPECIES
Be 9.01 Be.upf
Cl 35.45 Cl.upf
Li 6.94 Li.upf
CELL_PARAMETERS angstrom
-2.122 -1.726 -1.503
-0.196 -1.905 2.464
-5.089 3.949 2.650
ATOMIC_POSITIONS crystal
Be 0.000 0.000 0.000
Be 0.500 0.500 0.000
Cl 0.500 0.000 0.500
Li 0.000 0.500 0.500

Entry Q
! LiBe2Cl (GGA-PBEsol, optimized geometry); values from VASP
! M_tot (μB/cell): 0.002
&SYSTEM
  ibrav = 0, nat = 4, ntyp = 3
/
ATOMIC_SPECIES
Be 9.01 Be.upf
Cl 35.45 Cl.upf
Li 6.94 Li.upf
CELL_PARAMETERS angstrom
-2.304 -3.110 -2.377
-3.037 -2.659 2.083
-4.437 0.571 -0.787
ATOMIC_POSITIONS crystal
Be 0.750 0.750 0.750
Be 0.250 0.250 0.250
Cl 0.000 0.000 0.000
Li 0.500 0.500 0.500

Tell me which of them is the least stable. Sure, it is entry Q.